Entry 1:
{
  "formula": "BiS3Br",
  "functional": "PBE-GGA",
  "state": "optimized geometry",
  "n_ef_per_ev_fu": 1.8,
  "cell": [[4.8878, 0.0000, 0.0000], [0.0000, 4.8878, 0.0000], [0.0000, 0.0000, 4.8878]],
  "species": ["Bi", "S", "S", "S", "Br"],
  "frac_coords": [[0.0000, 0.0000, 0.0000], [0.0000, 0.5000, 0.5000], [0.5000, 0.0000, 0.5000], [0.5000, 0.5000, 0.0000], [0.5000, 0.5000, 0.5000]]
}

Entry 2:
{
  "formula": "BiS2Br",
  "functional": "PBE-GGA",
  "state": "optimized geometry",
  "n_ef_per_ev_fu": 4.5,
  "cell": [[0.0000, 3.5182, 3.5182], [3.5182, 0.0000, 3.5182], [3.5182, 3.5182, 0.0000]],
  "species": ["Bi", "S", "S", "Br"],
  "frac_coords": [[0.0000, 0.0000, 0.0000], [0.2500, 0.2500, 0.2500], [0.7500, 0.7500, 0.7500], [0.5000, 0.5000, 0.5000]]
}

Entry 3:
{
  "formula": "BiS2Br",
  "functional": "PBE-GGA",
  "state": "optimized geometry",
  "n_ef_per_ev_fu": 1.1,
  "cell": [[-3.7483, 3.7483, 3.9961], [3.7483, -3.7483, 3.9961], [3.7483, 3.7483, -3.9961]],
  "species": ["Bi", "Bi", "S", "S", "S", "S", "Br", "Br"],
  "frac_coords": [[0.0000, 0.0000, 0.0000], [0.7500, 0.2500, 0.5000], [0.0887, 0.6250, 0.9637], [0.3750, 0.3387, 0.4637], [0.6613, 0.1250, 0.0363], [0.8750, 0.9113, 0.5363], [0.2500, 0.7500, 0.5000], [0.5000, 0.5000, 0.0000]]
}

Entry 4:
{
  "formula": "Bi3S3Br",
  "functional": "PBE-GGA",
  "state": "optimized geometry",
  "n_ef_per_ev_fu": 0.4,
  "cell": [[4.0382, 2.3314, 7.8351], [-4.0382, 2.3314, 7.8351], [0.0000, -4.6629, 7.8351]],
  "species": ["Bi", "Bi", "Bi", "Bi", "Bi", "Bi", "S", "S", "S", "S", "S", "S", "Br", "Br"],
  "frac_coords": [[0.1472, 0.3383, 0.8188], [0.1812, 0.8528, 0.6617], [0.3383, 0.8188, 0.1472], [0.6617, 0.1812, 0.8528], [0.8188, 0.1472, 0.3383], [0.8528, 0.6617, 0.1812], [0.0670, 0.7567, 0.5390], [0.2433, 0.4610, 0.9330], [0.4610, 0.9330, 0.2433], [0.5390, 0.0670, 0.7567], [0.7567, 0.5390, 0.0670], [0.9330, 0.2433, 0.4610], [0.3529, 0.3529, 0.3529], [0.6471, 0.6471, 0.6471]]
}

Entry 5:
{
  "formula": "BiS2Br",
  "functional": "PBE-GGA",
  "state": "optimized geometry",
  "n_ef_per_ev_fu": 0.0,
  "cell": [[2.1352, 1.2327, 7.7994], [-2.1352, 1.2327, 7.7994], [0.0000, -2.4655, 7.7994]],
  "species": ["Bi", "S", "S", "Br"],
  "frac_coords": [[0.0000, 0.0000, 0.0000], [0.3949, 0.3949, 0.3949], [0.6051, 0.6051, 0.6051], [0.5000, 0.5000, 0.5000]]
}

Entry 6:
{
  "formula": "Bi3SBr7",
  "functional": "PBE-GGA",
  "state": "optimized geometry",
  "n_ef_per_ev_fu": 0.0,
  "cell": [[8.3422, 0.0000, 0.0000], [-4.1711, 7.2245, 0.0000], [0.0000, 0.0000, 7.1534]],
  "species": ["Bi", "Bi", "Bi", "S", "Br", "Br", "Br", "Br", "Br", "Br", "Br"],
  "frac_coords": [[0.0119, 0.5060, 0.0000], [0.4940, 0.5060, 0.0000], [0.4940, 0.9881, 0.0000], [0.3333, 0.6667, 0.7984], [0.1702, 0.3403, 0.2393], [0.1702, 0.8298, 0.2393], [0.3380, 0.1690, 0.7748], [0.6597, 0.8298, 0.2393], [0.6667, 0.3333, 0.2534], [0.8310, 0.1690, 0.7748], [0.8310, 0.6620, 0.7748]]
}

Entry 7:
{
  "formula": "BiSBr3",
  "functional": "PBE-GGA",
  "state": "optimized geometry",
  "n_ef_per_ev_fu": 3.9,
  "cell": [[5.2081, 0.0000, 0.0000], [0.0000, 5.2081, 0.0000], [0.0000, 0.0000, 5.2081]],
  "species": ["Bi", "S", "Br", "Br", "Br"],
  "frac_coords": [[0.0000, 0.0000, 0.0000], [0.5000, 0.5000, 0.5000], [0.0000, 0.5000, 0.5000], [0.5000, 0.0000, 0.5000], [0.5000, 0.5000, 0.0000]]
}

Entry 8:
{
  "formula": "BiS3Br",
  "functional": "PBE-GGA",
  "state": "optimized geometry",
  "n_ef_per_ev_fu": 5.8,
  "cell": [[5.3354, 0.0000, 0.0000], [0.0000, 5.3354, 0.0000], [0.0000, 0.0000, 5.3354]],
  "species": ["Bi", "S", "S", "S", "Br"],
  "frac_coords": [[0.0000, 0.0000, 0.0000], [0.0000, 0.0000, 0.5000], [0.0000, 0.5000, 0.0000], [0.5000, 0.0000, 0.0000], [0.5000, 0.5000, 0.5000]]
}

Entry 9:
{
  "formula": "BiS2Br",
  "functional": "PBE-GGA",
  "state": "optimized geometry",
  "n_ef_per_ev_fu": 4.1,
  "cell": [[1.8183, 1.0498, 9.1001], [-1.8183, 1.0498, 9.1001], [0.0000, -2.0996, 9.1001]],
  "species": ["Bi", "S", "S", "Br"],
  "frac_coords": [[0.0000, 0.0000, 0.0000], [0.0963, 0.0963, 0.0963], [0.9037, 0.9037, 0.9037], [0.5000, 0.5000, 0.5000]]
}

Entry 10:
{
  "formula": "BiS3Br",
  "functional": "PBE-GGA",
  "state": "optimized geometry",
  "cell": [[8.3669, 0.0000, 0.0000], [0.0000, 7.9990, 0.0000], [0.0000, 0.0000, 4.9132]],
  "species": ["Bi", "Bi", "S", "S", "S", "S", "S", "S", "Br", "Br"],
  "frac_coords": [[0.0000, 0.0450, 0.0000], [0.5000, 0.9550, 0.5000], [0.0000, 0.7777, 0.4225], [0.1891, 0.8176, 0.6913], [0.3109, 0.1824, 0.1913], [0.5000, 0.2223, 0.9225], [0.6891, 0.1824, 0.1913], [0.8109, 0.8176, 0.6913], [0.0000, 0.2694, 0.5623], [0.5000, 0.7306, 0.0623]]
}

Entry 11:
{
  "formula": "Bi2S3Br",
  "functional": "PBE-GGA",
  "state": "optimized geometry",
  "n_ef_per_ev_fu": 3.4,
  "cell": [[4.0584, -5.3964, 0.0000], [4.0584, 5.3964, 0.0000], [-0.0179, 0.0000, 7.1673]],
  "species": ["Bi", "Bi", "Bi", "Bi", "S", "S", "S", "S", "S", "S", "Br", "Br"],
  "frac_coords": [[0.2022, 0.7978, 0.0000], [0.2045, 0.7955, 0.5000], [0.7955, 0.2045, 0.5000], [0.7978, 0.2022, 0.0000], [0.0880, 0.0880, 0.2511], [0.0970, 0.4475, 0.7504], [0.4475, 0.0970, 0.7504], [0.5525, 0.9030, 0.2496], [0.9030, 0.5525, 0.2496], [0.9120, 0.9120, 0.7489], [0.4094, 0.4094, 0.2515], [0.5906, 0.5906, 0.7485]]
}

Entry 12:
{
  "formula": "BiS2Br2",
  "functional": "PBE-GGA",
  "state": "optimized geometry",
  "cell": [[3.7206, -7.2582, 0.0000], [3.7206, 7.2582, 0.0000], [-1.6423, 0.0000, 7.6295]],
  "species": ["Bi", "Bi", "S", "S", "S", "S", "Br", "Br", "Br", "Br"],
  "frac_coords": [[0.1657, 0.8343, 0.0000], [0.8343, 0.1657, 0.0000], [0.0506, 0.0506, 0.2299], [0.2386, 0.2386, 0.0799], [0.7614, 0.7614, 0.9201], [0.9494, 0.9494, 0.7701], [0.0461, 0.4819, 0.7671], [0.4819, 0.0461, 0.7671], [0.5181, 0.9539, 0.2329], [0.9539, 0.5181, 0.2329]]
}

Uncorrected formation energy per entry: 0.759; 0.373; 0.225; -0.240; -0.132; -0.682; 0.335; 0.765; 0.695; -0.193; -0.062; -0.319 eV/atom